# 1
{
  "formula": "Rb4La3ZnO8",
  "functional": "PBE-GGA",
  "state": "relaxed",
  "crystal_system": "monoclinic",
  "formation_energy_uncorrected_mev_per_atom": -2137,
  "total_energy_ev_per_atom": -5.8617,
  "lattice": [[7.126, 0.000, 0.000], [0.000, 7.670, 0.351], [-3.563, -3.574, 5.505]],
  "species": ["O", "O", "O", "Rb", "O", "Rb", "La", "La", "O", "Rb", "O", "Zn", "O", "Rb", "La", "O"],
  "fractional_positions": [[0.756, 0.661, 0.948], [0.283, 0.319, 0.566], [0.244, 0.339, 0.052], [0.000, 0.000, 0.500], [0.193, 0.661, 0.948], [0.000, 0.000, 0.000], [0.500, 0.500, 0.000], [0.000, 0.500, 0.500], [0.717, 0.681, 0.434], [0.500, 0.000, 0.500], [0.731, 0.282, 0.462], [0.000, 0.500, 0.000], [0.269, 0.718, 0.538], [0.500, 0.000, 0.000], [0.500, 0.500, 0.500], [0.807, 0.339, 0.052]]
}

# 2
{
  "formula": "Re2SiTc",
  "functional": "PBE-GGA",
  "state": "relaxed",
  "crystal_system": "orthorhombic",
  "formation_energy_uncorrected_mev_per_atom": 241,
  "total_energy_ev_per_atom": -9.9303,
  "lattice": [[-1.897, 1.342, -1.467], [0.955, -2.299, -1.163], [-6.097, -4.457, 3.807]],
  "species": ["Re", "Tc", "Si", "Re"],
  "fractional_positions": [[0.000, 0.000, 0.486], [0.500, 0.500, 0.750], [0.500, 0.500, 0.250], [0.000, 0.000, 0.014]]
}

Number 1: N(E_F) 8.59 states/eV per cell. Number 2: N(E_F) 4.02 states/eV per cell.